Entry 1:
First-principles (SCAN) data for a crystal of Mg3Zn4 relaxed with PBEsol, as listed in Alexandria via LeMat-Bulk. Values from VASP.

Results
The crystal system is tetragonal. The value obtained for the total energy is -9.89 eV/atom. Its space-group type is No. 139.

```
&SYSTEM
  ibrav = 0, nat = 7, ntyp = 2
/
ATOMIC_SPECIES
Mg 24.30 Mg.upf
Zn 65.41 Zn.upf
CELL_PARAMETERS angstrom
-1.325 2.175 -2.308
-2.728 0.493 2.032
6.814 6.408 4.687
ATOMIC_POSITIONS crystal
Mg 0.000 0.000 0.000
Mg 0.294 0.294 0.588
Mg 0.706 0.706 0.412
Zn 0.135 0.135 0.270
Zn 0.429 0.429 0.858
Zn 0.865 0.865 0.730
Zn 0.571 0.571 0.142
```

***

Entry 2:
First-principles (SCAN) data for a crystal of Mg3Zn5 relaxed with PBEsol, as listed in Alexandria via LeMat-Bulk. Values from VASP.

Results
The crystal system is orthorhombic. The value obtained for the total energy is -10.38 eV/atom. Its space-group type is No. 65.

```
&SYSTEM
  ibrav = 0, nat = 8, ntyp = 2
/
ATOMIC_SPECIES
Zn 65.41 Zn.upf
Mg 24.30 Mg.upf
CELL_PARAMETERS angstrom
4.045 0.000 0.000
0.000 5.717 0.096
0.000 -0.410 5.704
ATOMIC_POSITIONS crystal
Zn 0.000 0.000 0.000
Zn 0.000 0.000 0.500
Zn 0.500 0.251 0.251
Zn 0.500 0.749 0.749
Zn 0.000 0.500 0.000
Mg 0.000 0.500 0.500
Mg 0.500 0.238 0.762
Mg 0.500 0.762 0.238
```

***

Entry 3:
First-principles (SCAN) data for a crystal of MgZn2 relaxed with PBEsol, as listed in Alexandria via LeMat-Bulk. Values from VASP.

Results
The crystal system is cubic. The value obtained for the total energy is -10.88 eV/atom. Its space-group type is No. 227.

```
&SYSTEM
  ibrav = 0, nat = 6, ntyp = 2
/
ATOMIC_SPECIES
Mg 24.30 Mg.upf
Zn 65.41 Zn.upf
CELL_PARAMETERS angstrom
5.139 0.000 0.000
2.569 4.450 0.000
2.569 1.483 4.196
ATOMIC_POSITIONS crystal
Mg 0.500 0.500 0.500
Mg 0.750 0.750 0.750
Zn 0.625 0.125 0.125
Zn 0.125 0.625 0.125
Zn 0.125 0.125 0.125
Zn 0.125 0.125 0.625
```

***

Entry 4:
First-principles (SCAN) data for a crystal of MgZn5 relaxed with PBEsol, as listed in Alexandria via LeMat-Bulk. Values from VASP.

Results
The crystal system is cubic. The value obtained for the total energy is -12.15 eV/atom. Its space-group type is No. 216.

```
&SYSTEM
  ibrav = 0, nat = 6, ntyp = 2
/
ATOMIC_SPECIES
Zn 65.41 Zn.upf
Mg 24.30 Mg.upf
CELL_PARAMETERS angstrom
-0.714 4.632 1.925
-4.457 2.333 -0.600
-3.077 0.646 3.973
ATOMIC_POSITIONS crystal
Zn 0.375 0.875 0.375
Zn 0.375 0.375 0.875
Zn 0.750 0.750 0.750
Zn 0.875 0.375 0.375
Zn 0.375 0.375 0.375
Mg 0.000 0.000 0.000
```